BaBeRh2: PBEsol geometry, SCAN.

abc: 2.974 3.610 6.552
angles: 90.00 93.88 90.00
Positions (direct):
Rh  0.249  0.000  0.332
Rh  0.751  0.000  0.668
Be  0.000  0.500  0.500
Ba  0.500  0.500  0.000

## Properties
- spin magnetization (μB per formula unit) = 0.00
- E_form (meV per atom) = 85

Cd2CoRh: PBEsol geometry, SCAN.

abc: 2.872 4.666 5.129
angles: 108.59 106.26 90.00
Positions (direct):
Cd  0.767  0.292  0.534
Cd  0.988  0.962  0.975
Co  0.518  0.484  0.037
Rh  0.227  0.762  0.454

## Properties
- spin magnetization (μB per formula unit) = 2.17
- E_form (meV per atom) = 68